[1]
Entry from the Alexandria database: a relaxed structure of Sr2TcAs (PBE).

Lattice parameters (Å, degrees): 5.592 5.592 4.841 64.35 64.35 51.33
Last column: magnetic moment on the atom in μB.
Sites, in units of the cell vectors:
Tc  0.250  0.250  0.250  1.89
Sr  0.000  0.000  0.000  -0.02
Sr  0.500  0.500  0.500  -0.02
As  0.750  0.750  0.750  0.01

Summary:
SG: I4/mmm (139)
crystal system: tetragonal
uncorrected energy: -17.2 eV per cell

---

[2]
Entry from the Alexandria database: a relaxed structure of PrGa3IrPt (PBE).

Lattice parameters (Å, degrees): 6.679 6.339 6.769 117.92 90.00 90.00
Sites, in units of the cell vectors:
Ga  0.750  0.810  0.619
Pr  0.750  0.261  0.522
Ga  0.500  0.706  0.000
Ga  0.000  0.706  0.000
Ir  0.750  0.615  0.230
Pr  0.250  0.739  0.478
Pt  0.250  0.989  0.978
Ga  0.000  0.294  0.000
Ga  0.500  0.294  0.000
Ga  0.250  0.190  0.381
Ir  0.250  0.385  0.770
Pt  0.750  0.011  0.022

Summary:
SG: Cmcm (63)
crystal system: orthorhombic
uncorrected energy: -63.5 eV per cell

---

[3]
Entry from the Alexandria database: a relaxed structure of CaAlTe (PBE).

Lattice parameters (Å, degrees): 5.177 5.177 5.177 60.00 60.00 60.00
Last column: magnetic moment on the atom in μB.
Sites, in units of the cell vectors:
Te  0.000  0.000  0.000  -0.01
Ca  0.750  0.750  0.750  0.06
Al  0.500  0.500  0.500  0.08

Summary:
formation energy without anion corrections: -0.21 eV/atom
SG: F-43m (216)
excess energy over the best structure of this formula in the dataset: 241.0 meV per atom
crystal system: cubic
uncorrected energy: -9.5 eV per cell

---

[4]
Entry from the Alexandria database: a relaxed structure of CeLuMg (PBE).

Lattice parameters (Å, degrees): 3.357 3.357 8.490 90.00 90.00 120.00
Last column: magnetic moment on the atom in μB.
Sites, in units of the cell vectors:
Lu  0.667  0.333  0.329  -0.07
Mg  0.000  0.000  0.006  0.00
Ce  0.333  0.667  0.665  -0.66

Summary:
SG: P3m1 (156)
excess energy over the best structure of this formula in the dataset: 28.2 meV per atom
crystal system: trigonal
uncorrected energy: -11.9 eV per cell

---

[5]
Entry from the Alexandria database: a relaxed structure of CaLa2Mg (PBE).

Lattice parameters (Å, degrees): 6.422 6.422 6.422 133.29 133.29 68.20
Sites, in units of the cell vectors:
La  0.000  0.000  0.000
Ca  0.750  0.250  0.500
La  0.250  0.750  0.500
Mg  0.500  0.500  0.000

Summary:
SG: I-4m2 (119)
crystal system: tetragonal
uncorrected energy: -13.2 eV per cell

---

[6]
Entry from the Alexandria database: a relaxed structure of CoSi4Ni (PBE).

Lattice parameters (Å, degrees): 6.597 6.597 6.597 33.52 33.52 33.52
Sites, in units of the cell vectors:
Si  0.373  0.373  0.373
Si  0.123  0.123  0.123
Co  0.000  0.000  0.000
Ni  0.500  0.500  0.500
Si  0.627  0.627  0.627
Si  0.877  0.877  0.877

Summary:
formation energy without anion corrections: -0.44 eV/atom
SG: R-3m (166)
excess energy over the best structure of this formula in the dataset: 0.0 meV per atom
crystal system: trigonal
uncorrected energy: -37.2 eV per cell

---

[7]
Entry from the Alexandria database: a relaxed structure of TbPmPtPb (PBE).

Lattice parameters (Å, degrees): 5.264 5.264 5.264 60.00 60.00 60.00
Sites, in units of the cell vectors:
Pb  0.250  0.250  0.250
Pt  0.750  0.750  0.750
Tb  0.000  0.000  0.000
Pm  0.500  0.500  0.500

Summary:
SG: F-43m (216)
crystal system: cubic
uncorrected energy: -22.0 eV per cell

---

[8]
Entry from the Alexandria database: a relaxed structure of AcHoMgCu (PBE).

Lattice parameters (Å, degrees): 5.376 5.376 5.376 60.00 60.00 60.00
Sites, in units of the cell vectors:
Cu  0.000  0.000  0.000
Mg  0.500  0.500  0.500
Ac  0.250  0.250  0.250
Ho  0.750  0.750  0.750

Summary:
SG: F-43m (216)
crystal system: cubic
uncorrected energy: -14.3 eV per cell

---

[9]
Entry from the Alexandria database: a relaxed structure of TiNb2Ni2 (PBE).

Lattice parameters (Å, degrees): 6.995 6.995 3.127 90.00 90.00 90.00
Sites, in units of the cell vectors:
Nb  0.176  0.676  0.500
Ni  0.878  0.622  0.000
Ni  0.622  0.122  0.000
Nb  0.676  0.824  0.500
Ni  0.378  0.878  0.000
Ti  0.500  0.500  0.000
Ti  0.000  0.000  0.000
Nb  0.324  0.176  0.500
Nb  0.824  0.324  0.500
Ni  0.122  0.378  0.000

Summary:
SG: P4/mbm (127)
excess energy over the best structure of this formula in the dataset: 0.0 meV per atom
crystal system: tetragonal
uncorrected energy: -80.4 eV per cell

---

[10]
Entry from the Alexandria database: a relaxed structure of Ca2Ni2Rh (PBE).

Lattice parameters (Å, degrees): 4.346 4.926 5.493 116.64 113.31 90.00
Sites, in units of the cell vectors:
Ni  0.500  0.253  0.000
Rh  0.000  0.000  0.000
Ca  0.198  0.698  0.395
Ca  0.802  0.302  0.605
Ni  0.500  0.747  0.000

Summary:
SG: Immm (71)
excess energy over the best structure of this formula in the dataset: 0.0 meV per atom
crystal system: orthorhombic
uncorrected energy: -24.3 eV per cell

---

[11]
Entry from the Alexandria database: a relaxed structure of Pm5Tm2Sc2 (PBE).

Lattice parameters (Å, degrees): 8.468 7.056 11.087 108.55 112.45 90.00
Sites, in units of the cell vectors:
Pm  0.118  0.183  0.784
Pm  0.796  0.292  0.500
Pm  0.166  0.683  0.784
Sc  0.175  0.578  0.078
Sc  0.597  0.000  0.922
Pm  0.416  0.455  0.324
Pm  0.584  0.131  0.676
Sc  0.825  0.500  0.922
Pm  0.408  0.955  0.324
Tm  0.000  0.008  0.000
Tm  0.808  0.789  0.500
Pm  0.204  0.792  0.500
Tm  0.192  0.289  0.500
Pm  0.882  0.399  0.216
Tm  0.500  0.508  0.000
Pm  0.592  0.631  0.676
Pm  0.834  0.899  0.216
Sc  0.403  0.078  0.078

Summary:
SG: Ima2 (46)
excess energy over the best structure of this formula in the dataset: 185.3 meV per atom
crystal system: orthorhombic
uncorrected energy: -86.9 eV per cell

---

[12]
Entry from the Alexandria database: a relaxed structure of YMg2Al2 (PBE).

Lattice parameters (Å, degrees): 8.130 8.130 3.337 90.00 90.00 90.00
Last column: magnetic moment on the atom in μB.
Sites, in units of the cell vectors:
Al  0.122  0.378  0.000  0.00
Mg  0.674  0.826  0.500  0.00
Y  0.500  0.500  0.000  0.17
Mg  0.826  0.326  0.500  0.00
Y  0.000  0.000  0.000  0.16
Al  0.878  0.622  0.000  0.00
Mg  0.326  0.174  0.500  0.00
Al  0.622  0.122  0.000  0.00
Mg  0.174  0.674  0.500  0.00
Al  0.378  0.878  0.000  0.00

Summary:
SG: P4/mbm (127)
excess energy over the best structure of this formula in the dataset: 106.8 meV per atom
crystal system: tetragonal
uncorrected energy: -35.2 eV per cell

---

[13]
Entry from the Alexandria database: a relaxed structure of Rb2TeAu (PBE).

Lattice parameters (Å, degrees): 4.964 6.889 10.608 113.23 90.00 90.00
Sites, in units of the cell vectors:
Rb  0.750  0.208  0.931
Rb  0.250  0.785  0.577
Te  0.250  0.382  0.720
Au  0.250  0.400  0.222
Rb  0.250  0.792  0.069
Au  0.750  0.600  0.778
Te  0.750  0.618  0.280
Rb  0.750  0.215  0.423

Summary:
formation energy without anion corrections: -0.54 eV/atom
SG: P2_1/m (11)
crystal system: monoclinic
uncorrected energy: -21.0 eV per cell

---

[14]
Entry from the Alexandria database: a relaxed structure of TeRuSeBr2 (PBE).

Lattice parameters (Å, degrees): 5.676 5.114 5.676 90.00 90.00 90.00
Last column: magnetic moment on the atom in μB.
Sites, in units of the cell vectors:
Br  0.500  0.000  0.000  0.08
Se  0.500  0.500  0.500  1.05
Te  0.000  0.000  0.000  -0.03
Br  0.000  0.000  0.500  0.10
Ru  0.000  0.500  0.000  2.15

Summary:
formation energy without anion corrections: 0.94 eV/atom
SG: P4/mmm (123)
excess energy over the best structure of this formula in the dataset: 608.6 meV per atom
crystal system: tetragonal
uncorrected energy: -14.6 eV per cell

---

[15]
Entry from the Alexandria database: a relaxed structure of PbAuBr2 (PBE).

Lattice parameters (Å, degrees): 3.902 3.902 7.005 90.00 90.00 90.00
Sites, in units of the cell vectors:
Br  0.000  0.000  0.501
Pb  0.500  0.500  0.250
Br  0.000  0.000  0.999
Au  0.500  0.500  0.750

Summary:
formation energy without anion corrections: -0.05 eV/atom
SG: P4/mmm (123)
excess energy over the best structure of this formula in the dataset: 301.6 meV per atom
crystal system: tetragonal
uncorrected energy: -10.5 eV per cell

---

[16]
Entry from the Alexandria database: a relaxed structure of Cd2BiAs (PBE).

Lattice parameters (Å, degrees): 3.946 3.946 8.055 75.82 75.82 60.00
Sites, in units of the cell vectors:
Bi  0.500  0.500  0.500
Cd  0.736  0.736  0.791
As  0.000  0.000  0.000
Cd  0.264  0.264  0.209

Summary:
SG: R-3m (166)
excess energy over the best structure of this formula in the dataset: 0.0 meV per atom
crystal system: trigonal
uncorrected energy: -10.0 eV per cell

---

[17]
Entry from the Alexandria database: a relaxed structure of LaSm4Mg5 (PBE).

Lattice parameters (Å, degrees): 3.867 3.867 19.414 90.00 90.00 90.00
Sites, in units of the cell vectors:
Mg  0.500  0.500  0.303
Sm  0.000  0.000  0.402
Sm  0.000  0.000  0.204
Sm  0.000  0.000  0.796
Sm  0.000  0.000  0.598
Mg  0.500  0.500  0.894
Mg  0.500  0.500  0.500
Mg  0.500  0.500  0.106
Mg  0.500  0.500  0.697
La  0.000  0.000  0.000

Summary:
SG: P4/mmm (123)
crystal system: tetragonal
uncorrected energy: -32.8 eV per cell

---

[18]
Entry from the Alexandria database: a relaxed structure of Cr2InTe (PBE).

Lattice parameters (Å, degrees): 3.794 3.791 5.738 90.00 90.00 90.00
Last column: magnetic moment on the atom in μB.
Sites, in units of the cell vectors:
Cr  0.000  0.000  0.962  3.25
Te  0.500  0.500  0.811  -0.12
Cr  0.500  0.500  0.280  3.44
In  0.000  0.000  0.447  -0.06

Summary:
formation energy without anion corrections: 0.39 eV/atom
SG: P4mm (99)
excess energy over the best structure of this formula in the dataset: 118.0 meV per atom
crystal system: tetragonal
uncorrected energy: -23.6 eV per cell

---

[19]
Entry from the Alexandria database: a relaxed structure of CuMoAu (PBE).

Lattice parameters (Å, degrees): 4.154 4.154 4.154 60.00 60.00 60.00
Sites, in units of the cell vectors:
Mo  0.000  0.000  0.000
Cu  0.250  0.250  0.250
Au  0.500  0.500  0.500

Summary:
SG: F-43m (216)
excess energy over the best structure of this formula in the dataset: 523.3 meV per atom
crystal system: cubic
uncorrected energy: -16.2 eV per cell

---

[20]
Entry from the Alexandria database: a relaxed structure of Pm4Ge2Cl5 (PBE).

Lattice parameters (Å, degrees): 4.104 8.037 11.688 78.03 100.11 90.00
Sites, in units of the cell vectors:
Cl  0.500  0.000  0.000
Pm  0.337  0.460  0.675
Ge  0.554  0.442  0.108
Pm  0.663  0.540  0.325
Cl  0.775  0.668  0.550
Cl  0.225  0.332  0.450
Ge  0.446  0.558  0.892
Pm  0.012  0.724  0.023
Cl  0.868  0.221  0.737
Pm  0.988  0.276  0.977
Cl  0.132  0.779  0.263

Summary:
formation energy without anion corrections: -1.57 eV/atom
SG: C2/m (12)
crystal system: monoclinic
uncorrected energy: -54.7 eV per cell